Record 1
This record from Alexandria describes a relaxed structure of SbOsS2N. The functional is PBE.

Cell: 5.0333 5.0333 3.8418 Å, 90.00 90.00 90.00°
With the nearest neighbours (Å) after each atom.
Fractional positions:
Sb 0.0000 0.0000 0.0000  2 N 1.92
S 0.0000 0.5000 0.0000  2 Sb 2.52
S 0.5000 0.0000 0.0000  2 Sb 2.52
Os 0.5000 0.5000 0.5000  8 S 3.17
N 0.0000 0.0000 0.5000  2 Sb 1.92

Properties
The calculation puts the raw formation energy at 1.79 eV per atom. As for the symmetry: P4/mmm. For the offset from the most stable computed form, the calculation gives 1.429 eV per atom.

=====

Record 2
This record from Alexandria describes a relaxed structure of TiFe2Mo. The functional is PBE.

Cell: 2.8617 2.8617 6.3280 Å, 90.00 90.00 90.00°
With the nearest neighbours (Å) after each atom.
Fractional positions:
Mo 0.5000 0.5000 0.5000  8 Fe 2.63, 4 Mo 2.86
Fe 0.0000 0.0000 0.7665  4 Ti 2.51, 4 Mo 2.63
Fe 0.0000 0.0000 0.2335  4 Ti 2.51, 4 Mo 2.63
Ti 0.5000 0.5000 0.0000  8 Fe 2.51

Properties
The value obtained for the energy of formation from the pure elements is -87 meV per atom. As for the symmetry: P4/mmm.

=====

Record 3
This record from Alexandria describes a relaxed structure of Nb2RePtAu. The functional is PBE.

Cell: 4.8500 4.7568 4.8500 Å, 90.00 90.00 90.00°
With the nearest neighbours (Å) after each atom.
Fractional positions:
Re 0.0000 0.5000 0.0000  2 Pt 2.38
Nb 0.0000 0.0000 0.5000  2 Pt 2.43
Nb 0.5000 0.0000 0.0000  2 Pt 2.43
Au 0.5000 0.5000 0.5000  8 Nb 3.40, 4 Re 3.43
Pt 0.0000 0.0000 0.0000  2 Re 2.38, 4 Nb 2.43

Properties
The value obtained for the energy of formation from the pure elements is 1408 meV per atom. As for the symmetry: P4/mmm.

=====

Raw total energy (computed, Ha/atom): -0.169, -0.331, -0.256